## LaPmTlRu (GGA-PBE)

Data for LaPmTlRu after structural relaxation.

Summary:
**Density of states at the Fermi level**: 11.9 states/eV/cell
**Spin magnetization**: 0.00 μB per cell
**DFT formation energy**: -0.156 eV per atom

Cell: 7.4666 7.4666 7.4666 Å, 90.00 90.00 90.00°
Space group F-43m (No. 216)
Symmetry-distinct sites (fractional):
La 0.0000 0.0000 0.0000 [4 per cell]
Pm 0.0000 0.0000 0.5000 [4 per cell]
Tl 0.2500 0.2500 0.2500 [4 per cell]
Ru 0.2500 0.2500 0.7500 [4 per cell]



## LaPmZnRu (GGA-PBE)

Data for LaPmZnRu after structural relaxation.

Summary:
**Density of states at the Fermi level**: 8.3 states/eV/cell
**Spin magnetization**: 0.00 μB per cell
**DFT formation energy**: -0.272 eV per atom

Cell: 4.2638 4.1408 11.1799 Å, 90.00 90.00 90.00°
Space group Amm2 (No. 38)
Symmetry-distinct sites (fractional):
La 0.0000 0.0000 0.0000 [2 per cell]
Pm 0.5000 0.0000 0.2753 [2 per cell]
Zn 0.0000 0.0000 0.7067 [2 per cell]
Ru 0.5000 0.0000 0.5679 [2 per cell]



## LaPmZnRu (GGA-PBE)

Data for LaPmZnRu after structural relaxation.

Summary:
**Density of states at the Fermi level**: 16.8 states/eV/cell
**Spin magnetization**: 0.00 μB per cell
**DFT formation energy**: -0.229 eV per atom

Cell: 7.2220 7.2220 7.2220 Å, 90.00 90.00 90.00°
Space group F-43m (No. 216)
Symmetry-distinct sites (fractional):
La 0.0000 0.0000 0.0000 [4 per cell]
Pm 0.0000 0.0000 0.5000 [4 per cell]
Zn 0.2500 0.2500 0.7500 [4 per cell]
Ru 0.2500 0.2500 0.2500 [4 per cell]



## La4PmS5 (GGA-PBE)

Data for La4PmS5 after structural relaxation.

Summary:
**Density of states at the Fermi level**: 12.9 states/eV/cell
**Formation energy (no corrections)**: -2.137 eV/atom
**Spin magnetization**: 0.00 μB per cell

Cell: 4.1286 5.8475 20.6753 Å, 90.00 90.00 90.00°
Space group Immm (No. 71)
Symmetry-distinct sites (fractional):
La 0.0000 0.0000 0.0997 [4 per cell]
La 0.0000 0.0000 0.3009 [4 per cell]
Pm 0.0000 0.0000 0.5000 [2 per cell]
S 0.0000 0.5000 0.0970 [4 per cell]
S 0.0000 0.5000 0.2997 [4 per cell]
S 0.0000 0.5000 0.5000 [2 per cell]



## LaPm6S8 (GGA-PBE)

Data for LaPm6S8 after structural relaxation.

Summary:
**Density of states at the Fermi level**: 28.7 states/eV/cell
**Formation energy (no corrections)**: -2.053 eV/atom
**Spin magnetization**: 0.00 μB per cell

Cell: 11.4200 11.4200 11.4200 Å, 90.00 90.00 90.00°
Space group Fm-3m (No. 225)
Symmetry-distinct sites (fractional):
La 0.0000 0.0000 0.0000 [4 per cell]
Pm 0.0000 0.2500 0.2500 [24 per cell]
S 0.0000 0.0000 0.2538 [24 per cell]
S 0.2500 0.2500 0.2500 [8 per cell]



## LaPm3S6 (GGA-PBE)

Data for LaPm3S6 after structural relaxation.

Summary:
**Formation energy (no corrections)**: -2.097 eV/atom
**Spin magnetization**: 0.00 μB per cell

Cell: 11.3364 4.1173 11.6330 Å, 90.00 108.25 90.00°
Space group P2_1/m (No. 11)
Symmetry-distinct sites (fractional):
La 0.0477 0.2500 0.1907 [2 per cell]
Pm 0.1610 0.2500 0.5858 [2 per cell]
Pm 0.3193 0.7500 0.9968 [2 per cell]
Pm 0.4382 0.2500 0.3315 [2 per cell]
S 0.0830 0.7500 0.4034 [2 per cell]
S 0.1150 0.2500 0.9615 [2 per cell]
S 0.1917 0.7500 0.7488 [2 per cell]
S 0.2607 0.7500 0.2257 [2 per cell]
S 0.3981 0.2500 0.5614 [2 per cell]
S 0.4774 0.2500 0.1102 [2 per cell]



## La3Pm4S8 (GGA-PBE)

Data for La3Pm4S8 after structural relaxation.

Summary:
**Density of states at the Fermi level**: 15.3 states/eV/cell
**Formation energy (no corrections)**: -2.099 eV/atom
**Spin magnetization**: 0.00 μB per cell

Cell: 11.5572 11.5587 8.1342 Å, 90.00 134.72 90.00°
Space group C2/m (No. 12)
Symmetry-distinct sites (fractional):
La 0.0000 0.0000 0.0000 [2 per cell]
La 0.2500 0.2500 0.0000 [4 per cell]
Pm 0.0000 0.5000 0.0000 [2 per cell]
Pm 0.0000 0.5000 0.5000 [2 per cell]
Pm 0.2500 0.2500 0.5000 [4 per cell]
S 0.0000 0.2525 0.0000 [4 per cell]
S 0.0000 0.2533 0.5000 [4 per cell]
S 0.2431 0.5000 0.9918 [4 per cell]
S 0.2450 0.5000 0.4950 [4 per cell]



## La3PmS4 (GGA-PBE)

Data for La3PmS4 after structural relaxation.

Summary:
**Density of states at the Fermi level**: 7.8 states/eV/cell
**Formation energy (no corrections)**: -2.139 eV/atom
**Spin magnetization**: 0.00 μB per cell

Cell: 7.1638 8.2083 7.1609 Å, 90.00 109.42 90.00°
Space group P2/c (No. 13)
Symmetry-distinct sites (fractional):
La 0.0000 0.1254 0.2500 [2 per cell]
La 0.0000 0.3752 0.7500 [2 per cell]
La 0.5000 0.1256 0.7500 [2 per cell]
Pm 0.5000 0.3754 0.2500 [2 per cell]
S 0.2530 0.1280 0.0031 [4 per cell]
S 0.2557 0.3780 0.5000 [4 per cell]



## LaPm3S4 (GGA-PBE)

Data for LaPm3S4 after structural relaxation.

Summary:
**Density of states at the Fermi level**: 10.0 states/eV/cell
**Formation energy (no corrections)**: -2.066 eV/atom
**Spin magnetization**: 0.00 μB per cell

Cell: 8.1693 11.5032 4.0402 Å, 90.00 90.00 90.00°
Space group Cmmm (No. 65)
Symmetry-distinct sites (fractional):
La 0.0000 0.0000 0.0000 [2 per cell]
Pm 0.0000 0.5000 0.0000 [2 per cell]
Pm 0.2500 0.2500 0.5000 [4 per cell]
S 0.0000 0.2526 0.0000 [4 per cell]
S 0.2446 0.5000 0.5000 [4 per cell]



## La3PmS (GGA-PBE)

Data for La3PmS after structural relaxation.

Summary:
**Density of states at the Fermi level**: 6.4 states/eV/cell
**Formation energy (no corrections)**: -0.724 eV/atom
**Spin magnetization**: 0.00 μB per cell

Cell: 5.6167 5.6167 5.6167 Å, 90.00 90.00 90.00°
Space group Pm-3m (No. 221)
Symmetry-distinct sites (fractional):
La 0.0000 0.0000 0.5000 [3 per cell]
Pm 0.5000 0.5000 0.5000 [1 per cell]
S 0.0000 0.0000 0.0000 [1 per cell]



## La3PmS4 (GGA-PBE)

Data for La3PmS4 after structural relaxation.

Summary:
**Density of states at the Fermi level**: 10.1 states/eV/cell
**Formation energy (no corrections)**: -2.135 eV/atom
**Spin magnetization**: 0.00 μB per cell

Cell: 8.2804 11.6795 4.1082 Å, 90.00 90.00 90.00°
Space group Cmmm (No. 65)
Symmetry-distinct sites (fractional):
La 0.0000 0.0000 0.0000 [2 per cell]
La 0.2500 0.2500 0.5000 [4 per cell]
Pm 0.0000 0.5000 0.0000 [2 per cell]
S 0.0000 0.2530 0.0000 [4 per cell]
S 0.2443 0.5000 0.5000 [4 per cell]



## La3Pm5S8 (GGA-PBE)

Data for La3Pm5S8 after structural relaxation.

Summary:
**Density of states at the Fermi level**: 26.5 states/eV/cell
**Formation energy (no corrections)**: -2.084 eV/atom
**Spin magnetization**: 0.00 μB per cell

Cell: 8.1609 8.1609 19.9872 Å, 90.00 90.00 120.00°
Space group R-3m (No. 166, hexagonal axes)
Symmetry-distinct sites (fractional):
La 0.0000 0.5000 0.0000 [9 per cell]
Pm 0.0000 0.0000 0.0000 [3 per cell]
Pm 0.0000 0.0000 0.5000 [3 per cell]
Pm 0.0000 0.5000 0.5000 [9 per cell]
S 0.0000 0.0000 0.2472 [6 per cell]
S 0.0035 0.5018 0.7518 [18 per cell]



## La5PmS6 (GGA-PBE)

Data for La5PmS6 after structural relaxation.

Summary:
**Density of states at the Fermi level**: 12.0 states/eV/cell
**Formation energy (no corrections)**: -2.149 eV/atom
**Spin magnetization**: 0.00 μB per cell

Cell: 7.1624 12.4229 7.1619 Å, 90.00 109.64 90.00°
Space group C2/m (No. 12)
Symmetry-distinct sites (fractional):
La 0.0000 0.0000 0.0000 [2 per cell]
La 0.0000 0.1663 0.5000 [4 per cell]
La 0.0000 0.3324 0.0000 [4 per cell]
Pm 0.0000 0.5000 0.5000 [2 per cell]
S 0.2462 0.5000 0.2519 [4 per cell]
S 0.2466 0.3355 0.7466 [8 per cell]



## La3Pm2S8 (GGA-PBE)

Data for La3Pm2S8 after structural relaxation.

Summary:
**Density of states at the Fermi level**: 19.2 states/eV/cell
**Formation energy (no corrections)**: -1.879 eV/atom
**Spin magnetization**: 1.10 μB per cell

Cell: 14.2077 8.3398 7.0527 Å, 90.00 111.27 90.00°
Space group C2/m (No. 12)
Symmetry-distinct sites (fractional):
La 0.0000 0.0000 0.0000 [2 per cell]
La 0.0000 0.2649 0.5000 [4 per cell]
Pm 0.2337 0.5000 0.1494 [4 per cell]
S 0.1188 0.0000 0.4425 [4 per cell]
S 0.1190 0.5000 0.3961 [4 per cell]
S 0.1279 0.2299 0.9166 [8 per cell]



## LaPm3S4 (GGA-PBE)

Data for LaPm3S4 after structural relaxation.

Summary:
**Density of states at the Fermi level**: 4.8 states/eV/cell
**Formation energy (no corrections)**: -2.054 eV/atom
**Spin magnetization**: 0.00 μB per cell

Cell: 5.7506 5.7506 5.7506 Å, 90.00 90.00 90.00°
Space group Pm-3m (No. 221)
Symmetry-distinct sites (fractional):
La 0.0000 0.0000 0.0000 [1 per cell]
Pm 0.0000 0.5000 0.5000 [3 per cell]
S 0.0000 0.0000 0.5000 [3 per cell]
S 0.5000 0.5000 0.5000 [1 per cell]



## LaPm2S3 (GGA-PBE)

Data for LaPm2S3 after structural relaxation.

Summary:
**Density of states at the Fermi level**: 5.9 states/eV/cell
**Formation energy (no corrections)**: -2.076 eV/atom
**Spin magnetization**: 0.00 μB per cell

Cell: 4.0740 5.7648 12.2184 Å, 90.00 90.00 90.00°
Space group Immm (No. 71)
Symmetry-distinct sites (fractional):
La 0.0000 0.0000 0.0000 [2 per cell]
Pm 0.0000 0.0000 0.3334 [4 per cell]
S 0.0000 0.5000 0.0000 [2 per cell]
S 0.0000 0.5000 0.3294 [4 per cell]



## La6PmS8 (GGA-PBE)

Data for La6PmS8 after structural relaxation.

Summary:
**Density of states at the Fermi level**: 33.1 states/eV/cell
**Formation energy (no corrections)**: -2.151 eV/atom
**Spin magnetization**: 0.00 μB per cell

Cell: 11.7200 11.7200 11.7200 Å, 90.00 90.00 90.00°
Space group Fm-3m (No. 225)
Symmetry-distinct sites (fractional):
La 0.0000 0.2500 0.2500 [24 per cell]
Pm 0.0000 0.0000 0.0000 [4 per cell]
S 0.0000 0.0000 0.2437 [24 per cell]
S 0.2500 0.2500 0.2500 [8 per cell]



## LaPm4S7 (GGA-PBE)

Data for LaPm4S7 after structural relaxation.

Summary:
**Density of states at the Fermi level**: 3.0 states/eV/cell
**Formation energy (no corrections)**: -2.073 eV/atom
**Spin magnetization**: 0.00 μB per cell

Cell: 13.4125 3.9443 11.9308 Å, 90.00 104.80 90.00°
Space group Cm (No. 8)
Symmetry-distinct sites (fractional):
La 0.0000 0.0000 0.0000 [2 per cell]
Pm 0.1118 0.0000 0.4214 [2 per cell]
Pm 0.2231 0.0000 0.8374 [2 per cell]
Pm 0.3113 0.5000 0.2339 [2 per cell]
Pm 0.4115 0.0000 0.6077 [2 per cell]
S 0.0670 0.0000 0.6346 [2 per cell]
S 0.1141 0.5000 0.9175 [2 per cell]
S 0.1569 0.0000 0.2084 [2 per cell]
S 0.2706 0.5000 0.4708 [2 per cell]
S 0.3501 0.5000 0.7681 [2 per cell]
S 0.3670 0.0000 0.0691 [2 per cell]
S 0.4532 0.0000 0.3698 [2 per cell]



## LaPm2S4 (GGA-PBE)

Data for LaPm2S4 after structural relaxation.

Summary:
**Density of states at the Fermi level**: 7.9 states/eV/cell
**Formation energy (no corrections)**: -2.105 eV/atom
**Spin magnetization**: 0.00 μB per cell

Cell: 3.9870 13.3827 13.4643 Å, 90.00 90.00 90.00°
Space group Cmcm (No. 63)
Symmetry-distinct sites (fractional):
La 0.0000 0.1229 0.2500 [4 per cell]
Pm 0.0000 0.3702 0.0678 [8 per cell]
S 0.0000 0.0000 0.0000 [4 per cell]
S 0.0000 0.2739 0.6219 [8 per cell]
S 0.0000 0.4679 0.2500 [4 per cell]



## La4PmS4 (GGA-PBE)

Data for La4PmS4 after structural relaxation.

Summary:
**Density of states at the Fermi level**: 14.2 states/eV/cell
**Formation energy (no corrections)**: -1.864 eV/atom
**Spin magnetization**: 0.00 μB per cell

Cell: 9.1681 9.1681 5.8624 Å, 90.00 90.00 90.00°
Space group I4/m (No. 87)
Symmetry-distinct sites (fractional):
La 0.1013 0.6981 0.0000 [8 per cell]
Pm 0.0000 0.0000 0.5000 [2 per cell]
S 0.0983 0.7029 0.5000 [8 per cell]